Record 1
# KFe2Pb

A relaxed KFe2Pb crystal (GGA-PBE, the Alexandria database).

Cell: 4.982 6.037 7.091 Å, 90.00 90.00 90.00°
Sites, in units of the cell vectors:
K 0.000 0.000 0.000
K 0.500 0.500 0.500
Fe 0.000 0.500 0.155
Fe 0.000 0.500 0.845
Fe 0.500 0.000 0.345
Fe 0.500 0.000 0.655
Pb 0.000 0.000 0.500
Pb 0.500 0.500 0.000

Computed properties:
The density of states at the Fermi level comes out at 9.48 states/eV/cell. As for the symmetry: Immm, No. 71. As for the formation enthalpy at 0 K: 3.65 eV per formula unit. The energy above the most stable polymorph in this dataset comes out at 482 meV per atom.

Record 2
# KFePb2

A relaxed KFePb2 crystal (GGA-PBE, the Alexandria database).

Cell: 3.616 3.616 29.433 Å, 90.00 90.00 120.00°
Sites, in units of the cell vectors:
K 0.000 0.000 0.000
K 0.333 0.667 0.667
K 0.667 0.333 0.333
Fe 0.000 0.000 0.500
Fe 0.333 0.667 0.167
Fe 0.667 0.333 0.833
Pb 0.000 0.000 0.231
Pb 0.000 0.000 0.769
Pb 0.333 0.667 0.436
Pb 0.333 0.667 0.898
Pb 0.667 0.333 0.102
Pb 0.667 0.333 0.564

Computed properties:
The density of states at the Fermi level comes out at 5.70 states/eV/cell. As for the symmetry: R-3m, No. 166. As for the formation enthalpy at 0 K: 1.20 eV per formula unit.

Record 3
# KFePb2

A relaxed KFePb2 crystal (GGA-PBE, the Alexandria database).

Cell: 7.266 7.266 7.266 Å, 90.00 90.00 90.00°
Sites, in units of the cell vectors:
K 0.000 0.000 0.000
K 0.000 0.500 0.500
K 0.500 0.000 0.500
K 0.500 0.500 0.000
Fe 0.000 0.000 0.500
Fe 0.000 0.500 0.000
Fe 0.500 0.000 0.000
Fe 0.500 0.500 0.500
Pb 0.250 0.250 0.250
Pb 0.250 0.250 0.750
Pb 0.250 0.750 0.250
Pb 0.250 0.750 0.750
Pb 0.750 0.250 0.250
Pb 0.750 0.250 0.750
Pb 0.750 0.750 0.250
Pb 0.750 0.750 0.750

Computed properties:
The density of states at the Fermi level comes out at 36.84 states/eV/cell. As for the symmetry: Fm-3m, No. 225. As for the formation enthalpy at 0 K: 2.98 eV per formula unit.

Record 4
# KFe2Pb

A relaxed KFe2Pb crystal (GGA-PBE, the Alexandria database).

Cell: 8.009 3.113 7.795 Å, 90.00 96.86 90.00°
Sites, in units of the cell vectors:
K 0.000 0.000 0.000
K 0.500 0.500 0.000
Fe 0.269 0.500 0.327
Fe 0.485 0.000 0.423
Fe 0.769 0.000 0.327
Fe 0.985 0.500 0.423
Pb 0.229 0.000 0.632
Pb 0.729 0.500 0.632

Computed properties:
The density of states at the Fermi level comes out at 6.25 states/eV/cell. As for the symmetry: Cm, No. 8. As for the formation enthalpy at 0 K: 2.27 eV per formula unit. The energy above the most stable polymorph in this dataset comes out at 137 meV per atom.

Record 5
# K2FePb

A relaxed K2FePb crystal (GGA-PBE, the Alexandria database).

Cell: 4.663 4.663 11.490 Å, 90.00 90.00 90.00°
Sites, in units of the cell vectors:
K 0.000 0.500 0.250
K 0.000 0.500 0.750
K 0.500 0.000 0.250
K 0.500 0.000 0.750
Fe 0.000 0.000 0.000
Fe 0.500 0.500 0.500
Pb 0.000 0.000 0.500
Pb 0.500 0.500 0.000

Computed properties:
The density of states at the Fermi level comes out at 6.22 states/eV/cell. As for the symmetry: I4/mmm, No. 139. As for the formation enthalpy at 0 K: 2.54 eV per formula unit.

Record 6
# KFePb2

A relaxed KFePb2 crystal (GGA-PBE, the Alexandria database).

Cell: 3.470 3.470 8.844 Å, 90.00 90.00 90.00°
Sites, in units of the cell vectors:
K 0.000 0.000 0.000
Fe 0.000 0.000 0.500
Pb 0.500 0.500 0.316
Pb 0.500 0.500 0.684

Computed properties:
The density of states at the Fermi level comes out at 3.50 states/eV/cell. As for the symmetry: P4/mmm, No. 123. As for the formation enthalpy at 0 K: 0.89 eV per formula unit.

Record 7
# KFePb3

A relaxed KFePb3 crystal (GGA-PBE, the Alexandria database).

Cell: 5.332 5.332 5.332 Å, 90.00 90.00 90.00°
Sites, in units of the cell vectors:
K 0.000 0.000 0.000
Fe 0.500 0.500 0.500
Pb 0.000 0.500 0.500
Pb 0.500 0.000 0.500
Pb 0.500 0.500 0.000

Computed properties:
The density of states at the Fermi level comes out at 1.08 states/eV/cell. As for the symmetry: Pm-3m, No. 221. As for the formation enthalpy at 0 K: 0.75 eV per formula unit. The energy above the most stable polymorph in this dataset comes out at 0 meV per atom.

Record 8
# KFe2Pb

A relaxed KFe2Pb crystal (GGA-PBE, the Alexandria database).

Cell: 3.047 5.616 10.799 Å, 90.00 90.00 90.00°
Sites, in units of the cell vectors:
K 0.000 0.000 0.000
K 0.500 0.500 0.500
Fe 0.000 0.000 0.534
Fe 0.000 0.500 0.198
Fe 0.500 0.000 0.698
Fe 0.500 0.500 0.034
Pb 0.000 0.500 0.800
Pb 0.500 0.000 0.300

Computed properties:
The density of states at the Fermi level comes out at 6.62 states/eV/cell. As for the symmetry: Imm2, No. 44. As for the formation enthalpy at 0 K: 2.85 eV per formula unit. The energy above the most stable polymorph in this dataset comes out at 282 meV per atom.